# 1
A relaxed structure of NdLuMg2. Source: Alexandria via LeMat-Bulk, functional PBE.

For the density of states at the Fermi level, the calculation gives 4.01 states/eV per cell. The calculation puts the energy above the most stable polymorph in this dataset at 13 meV per atom. As for the formation energy: -71 meV per atom. For the energy, the calculation gives -3.191 eV per atom.

Lattice parameters (Å, degrees): 3.8899 5.3272 5.3272 90.00 90.00 90.00
Closest atoms and distances in Å follow each position.
Atoms (fractional coordinates):
Mg: 0.0000 0.0000 0.5000  4 Lu 3.30, 4 Nd 3.30
Mg: 0.0000 0.5000 0.0000  4 Lu 3.30, 4 Nd 3.30
Lu: 0.5000 0.5000 0.5000  8 Mg 3.30
Nd: 0.5000 0.0000 0.0000  8 Mg 3.30

# 2
A relaxed structure of KMg. Source: Alexandria via LeMat-Bulk, functional PBE.

For the density of states at the Fermi level, the calculation gives 6.16 states/eV per cell. As for the formation energy: 362 meV per atom. For the energy, the calculation gives -0.985 eV per atom.

Lattice parameters (Å, degrees): 7.2707 7.2707 7.4219 90.00 90.00 90.00
Closest atoms and distances in Å follow each position.
Atoms (fractional coordinates):
K: 0.1823 0.1823 0.0000  6 Mg 3.64-4.01, 1 K 3.75
K: 0.6823 0.3177 0.5000  6 Mg 3.64-4.01, 1 K 3.75
K: 0.3177 0.6823 0.5000  6 Mg 3.64-4.01, 1 K 3.75
K: 0.8177 0.8177 0.0000  6 Mg 3.64-4.01, 1 K 3.75
Mg: 0.3446 0.6554 0.0000  1 Mg 3.20
Mg: 0.8446 0.8446 0.5000  1 Mg 3.20
Mg: 0.1554 0.1554 0.5000  1 Mg 3.20
Mg: 0.6554 0.3446 0.0000  1 Mg 3.20

# 3
A relaxed structure of Sm2PbSe4. Source: Alexandria via LeMat-Bulk, functional PBE.

For the density of states at the Fermi level, the calculation gives 0.00 states/eV per cell. The calculation puts the energy above the most stable polymorph in this dataset at 6 meV per atom. For the uncorrected formation energy, the calculation gives -1471 meV per atom. For the energy, the calculation gives -5.340 eV per atom.

Lattice parameters (Å, degrees): 7.7877 7.7877 7.7877 109.38 109.38 109.65
Closest atoms and distances in Å follow each position.
Atoms (fractional coordinates):
Sm: 0.1250 0.5075 0.8825  8 Se 2.96-3.22
Sm: 0.7575 0.8750 0.3825  8 Se 2.96-3.22
Sm: 0.6250 0.2425 0.1175  8 Se 2.96-3.22
Sm: 0.4925 0.3750 0.6175  8 Se 2.96-3.22
Pb: 0.2500 0.7500 0.5000  8 Se 3.07-3.26
Pb: 0.0000 0.0000 0.0000  8 Se 3.07-3.26
Se: 0.3874 0.9855 0.2527  4 Sm 2.96-3.22, 2 Pb 3.07-3.26
Se: 0.8653 0.6126 0.5981  4 Sm 2.96-3.22, 2 Pb 3.07-3.26
Se: 0.0145 0.2672 0.4019  4 Sm 2.96-3.22, 2 Pb 3.07-3.26
Se: 0.2355 0.1374 0.7527  4 Sm 2.96-3.22, 2 Pb 3.07-3.26
Se: 0.8626 0.6153 0.0981  4 Sm 2.96-3.22, 2 Pb 3.07-3.26
Se: 0.5172 0.7645 0.9019  4 Sm 2.96-3.22, 2 Pb 3.07-3.26
Se: 0.7328 0.1347 0.7473  4 Sm 2.96-3.22, 2 Pb 3.07-3.26
Se: 0.3847 0.4828 0.2473  4 Sm 2.96-3.22, 2 Pb 3.07-3.26

# 4
A relaxed structure of HoAl2Pd5. Source: Alexandria via LeMat-Bulk, functional PBE.

For the density of states at the Fermi level, the calculation gives 3.01 states/eV per cell. As for the formation energy: -777 meV per atom. For the energy, the calculation gives -5.530 eV per atom.

Lattice parameters (Å, degrees): 3.8273 6.5151 6.5151 65.03 72.92 72.92
Closest atoms and distances in Å follow each position.
Atoms (fractional coordinates):
Ho: 0.0000 0.0000 0.0000  10 Pd 3.16-3.50, 4 Al 3.31
Al: 0.7622 0.7378 0.7378  7 Pd 2.41-2.60
Al: 0.2378 0.2622 0.2622  7 Pd 2.41-2.60
Pd: 0.0000 0.5000 0.5000  2 Al 2.45
Pd: 0.6402 0.5654 0.1542  3 Al 2.41-2.60
Pd: 0.3598 0.4346 0.8458  3 Al 2.41-2.60
Pd: 0.3598 0.8458 0.4346  3 Al 2.41-2.60
Pd: 0.6402 0.1542 0.5654  3 Al 2.41-2.60

# 5
A relaxed structure of Nd4ThTe4. Source: Alexandria via LeMat-Bulk, functional PBE.

For the density of states at the Fermi level, the calculation gives 9.01 states/eV per cell. For the uncorrected formation energy, the calculation gives -755 meV per atom. For the energy, the calculation gives -5.095 eV per atom.

Lattice parameters (Å, degrees): 7.1115 7.1115 8.9424 113.43 113.43 90.00
Closest atoms and distances in Å follow each position.
Atoms (fractional coordinates):
Nd: 0.5000 0.0000 0.0000  4 Te 3.15
Nd: 0.0000 0.5000 0.0000  4 Te 3.15
Nd: 0.2515 0.2515 0.5030  4 Te 3.06-3.11
Nd: 0.7485 0.7485 0.4970  4 Te 3.06-3.11
Th: 0.0000 0.0000 0.0000  4 Te 3.17
Te: 0.6195 0.6195 0.7423  4 Nd 3.06-3.15, 1 Th 3.17
Te: 0.3805 0.8772 0.2577  4 Nd 3.06-3.15, 1 Th 3.17
Te: 0.1228 0.1228 0.7423  4 Nd 3.06-3.15, 1 Th 3.17
Te: 0.8772 0.3805 0.2577  4 Nd 3.06-3.15, 1 Th 3.17

# 6
A relaxed structure of CrTe2PdN. Source: Alexandria via LeMat-Bulk, functional PBE.

For the density of states at the Fermi level, the calculation gives 5.30 states/eV per cell. The calculation puts the energy above the most stable polymorph in this dataset at 975 meV per atom. For the uncorrected formation energy, the calculation gives 1157 meV per atom. For the energy, the calculation gives -4.728 eV per atom.

Lattice parameters (Å, degrees): 5.4386 5.4386 3.6844 90.00 90.00 90.00
Closest atoms and distances in Å follow each position.
Atoms (fractional coordinates):
Cr: 0.5000 0.5000 0.5000  8 Te 3.28
Te: 0.0000 0.5000 0.0000  2 Pd 2.72
Te: 0.5000 0.0000 0.0000  2 Pd 2.72
Pd: 0.0000 0.0000 0.0000  2 N 1.84
N: 0.0000 0.0000 0.5000  2 Pd 1.84

# 7
A relaxed structure of HPdN2. Source: Alexandria via LeMat-Bulk, functional PBE.

For the density of states at the Fermi level, the calculation gives 1.91 states/eV per cell. The calculation puts the energy above the most stable polymorph in this dataset at 0 meV per atom. For the energy, the calculation gives -5.455 eV per atom.

Lattice parameters (Å, degrees): 4.7504 4.7504 4.7504 39.34 39.34 39.34
Closest atoms and distances in Å follow each position.
Atoms (fractional coordinates):
H: 0.0000 0.0000 0.0000  2 N 1.25
Pd: 0.5000 0.5000 0.5000  6 N 2.07
N: 0.9049 0.9049 0.9049  1 H 1.25
N: 0.0951 0.0951 0.0951  1 H 1.25

# 8
A relaxed structure of Pr3RhI3. Source: Alexandria via LeMat-Bulk, functional PBE.

For the density of states at the Fermi level, the calculation gives 10.14 states/eV per cell. For the uncorrected formation energy, the calculation gives -1110 meV per atom. For the energy, the calculation gives -4.873 eV per atom.

Lattice parameters (Å, degrees): 4.2470 9.4987 12.6519 92.39 90.00 90.00
Closest atoms and distances in Å follow each position.
Atoms (fractional coordinates):
Pr: 0.2500 0.3133 0.6208  2 Rh 2.85
Pr: 0.7500 0.6867 0.3792  2 Rh 2.85
Pr: 0.2500 0.9060 0.6103  3 Rh 2.90-2.91
Pr: 0.7500 0.0940 0.3897  3 Rh 2.90-2.91
Pr: 0.2500 0.8830 0.1598  1 Rh 2.79
Pr: 0.7500 0.1170 0.8402  1 Rh 2.79
Rh: 0.2500 0.8863 0.3802  6 Pr 2.79-2.91
Rh: 0.7500 0.1137 0.6198  6 Pr 2.79-2.91
I: 0.2500 0.3914 0.3668  5 Pr 3.33-3.56
I: 0.7500 0.6086 0.6332  5 Pr 3.33-3.56
I: 0.2500 0.8610 0.8846  4 Pr 3.29-3.51
I: 0.7500 0.1390 0.1154  4 Pr 3.29-3.51
I: 0.2500 0.3755 0.8764  3 Pr 3.26
I: 0.7500 0.6245 0.1236  3 Pr 3.26

# 9
A relaxed structure of La4Si2Ge. Source: Alexandria via LeMat-Bulk, functional PBE.

For the density of states at the Fermi level, the calculation gives 5.22 states/eV per cell. For the uncorrected formation energy, the calculation gives -207 meV per atom. For the energy, the calculation gives -5.231 eV per atom.

Lattice parameters (Å, degrees): 5.5182 5.5182 8.8651 71.87 71.87 90.00
Closest atoms and distances in Å follow each position.
Atoms (fractional coordinates):
Ge: 0.0000 0.0000 0.0000  6 La 2.76-2.99
Si: 0.3751 0.3751 0.2498  1 La 2.98
Si: 0.6249 0.6249 0.7502  1 La 2.98
La: 0.1881 0.1881 0.6238  1 Si 2.98, 1 Ge 2.99
La: 0.8119 0.8119 0.3762  1 Si 2.98, 1 Ge 2.99
La: 0.0000 0.5000 0.0000  2 Ge 2.76
La: 0.5000 0.0000 0.0000  2 Ge 2.76

# 10
A relaxed structure of SrAlFe2. Source: Alexandria via LeMat-Bulk, functional PBE.

For the density of states at the Fermi level, the calculation gives 3.64 states/eV per cell. As for the formation energy: 352 meV per atom. For the energy, the calculation gives -5.236 eV per atom.

Lattice parameters (Å, degrees): 4.2589 3.0969 6.2517 81.14 90.00 90.00
Closest atoms and distances in Å follow each position.
Atoms (fractional coordinates):
Sr: 0.5000 0.2500 0.2500  2 Sr 3.10, 2 Al 3.27, 4 Fe 3.30
Fe: 0.0000 0.9742 0.8907  2 Fe 2.26-2.40, 2 Al 2.45
Fe: 0.0000 0.5258 0.6093  2 Fe 2.26-2.40, 2 Al 2.45
Al: 0.5000 0.7500 0.7500  4 Fe 2.45

# 11
A relaxed structure of NiHgRh2. Source: Alexandria via LeMat-Bulk, functional PBE.

For the density of states at the Fermi level, the calculation gives 5.93 states/eV per cell. As for the formation energy: 260 meV per atom. For the energy, the calculation gives -4.936 eV per atom.

Lattice parameters (Å, degrees): 4.2921 2.8051 5.2866 74.27 90.00 90.00
Closest atoms and distances in Å follow each position.
Atoms (fractional coordinates):
Hg: 0.5000 0.2500 0.2500  2 Ni 2.64, 2 Hg 2.81, 8 Rh 2.91-2.93
Ni: 0.5000 0.7500 0.7500  4 Rh 2.54, 2 Hg 2.64, 2 Ni 2.81
Rh: 0.0000 0.8977 0.9744  2 Ni 2.54, 5 Rh 2.64-2.81
Rh: 0.0000 0.6023 0.5256  2 Ni 2.54, 5 Rh 2.64-2.81

# 12
A relaxed structure of Sn2Pd3Au. Source: Alexandria via LeMat-Bulk, functional PBE.

For the density of states at the Fermi level, the calculation gives 3.42 states/eV per cell. The calculation puts the energy above the most stable polymorph in this dataset at 24 meV per atom. As for the formation energy: -396 meV per atom. For the energy, the calculation gives -4.873 eV per atom.

Lattice parameters (Å, degrees): 4.4889 5.6790 8.4339 90.00 90.00 90.00
Closest atoms and distances in Å follow each position.
Atoms (fractional coordinates):
Sn: 0.5000 0.7100 0.8674  8 Pd 2.70-3.01
Sn: 0.5000 0.2100 0.1326  8 Pd 2.70-3.01
Sn: 0.0000 0.2952 0.6550  6 Pd 2.69-2.91, 2 Au 2.87
Sn: 0.0000 0.7952 0.3450  6 Pd 2.69-2.91, 2 Au 2.87
Pd: 0.0000 0.4629 0.9674  5 Sn 2.78-3.01, 6 Pd 2.89-3.06
Pd: 0.0000 0.9629 0.0326  5 Sn 2.78-3.01, 6 Pd 2.89-3.06
Pd: 0.5000 0.6820 0.1872  4 Sn 2.69-2.72, 1 Au 2.96
Pd: 0.5000 0.1820 0.8128  4 Sn 2.69-2.72, 1 Au 2.96
Pd: 0.0000 0.3051 0.3122  5 Sn 2.76-2.91, 2 Au 3.02, 2 Pd 3.04-3.06
Pd: 0.0000 0.8051 0.6878  5 Sn 2.76-2.91, 2 Au 3.02, 2 Pd 3.04-3.06
Au: 0.5000 0.5448 0.5256  5 Sn 2.87-3.06, 2 Au 2.87, 6 Pd 2.96-3.18
Au: 0.5000 0.0448 0.4744  5 Sn 2.87-3.06, 2 Au 2.87, 6 Pd 2.96-3.18

> Among the records above, which one has the lowest energy?

HoAl2Pd5